1.
Compound: Ti2AgGeCl
Source: Alexandria via LeMat-Bulk
Functional: PBE
Structure: optimized geometry

Calculated values
- Space group: P4/mmm
- ΔE_f (raw): 0.677 eV per atom
- Magnetic moment: 0.0 μB/cell
- Crystal system: tetragonal

Unit cell a=4.879 b=4.879 c=5.033 alpha=90.00 beta=90.00 gamma=90.00
Sites, in units of the cell vectors:
Ti  0.000  0.500  0.000
Ti  0.500  0.000  0.000
Ag  0.000  0.000  0.500
Ge  0.500  0.500  0.000
Cl  0.500  0.500  0.500

=====

2.
Compound: Tl2AgGeCl5
Source: Alexandria via LeMat-Bulk
Functional: PBE
Structure: optimized geometry

Calculated values
- Space group: Cmc2_1
- ΔE_f (raw): -0.818 eV per atom
- Magnetic moment: 0.0 μB/cell
- Crystal system: orthorhombic

Unit cell a=9.565 b=9.565 c=13.695 alpha=90.00 beta=90.00 gamma=154.94
Sites, in units of the cell vectors:
Tl  0.096  0.904  0.500
Tl  0.129  0.871  0.106
Tl  0.871  0.129  0.606
Tl  0.904  0.096  0.000
Ag  0.442  0.558  0.277
Ag  0.558  0.442  0.777
Ge  0.218  0.782  0.833
Ge  0.782  0.218  0.333
Cl  0.050  0.950  0.887
Cl  0.275  0.725  0.465
Cl  0.302  0.698  0.203
Cl  0.345  0.655  0.811
Cl  0.499  0.501  0.609
Cl  0.501  0.499  0.109
Cl  0.655  0.345  0.311
Cl  0.698  0.302  0.703
Cl  0.725  0.275  0.965
Cl  0.950  0.050  0.387

=====

3.
Compound: Tl4AgGe3Cl12
Source: Alexandria via LeMat-Bulk
Functional: PBE
Structure: optimized geometry

Calculated values
- Space group: Im-3m
- ΔE_f (raw): -0.828 eV per atom
- Magnetic moment: 0.0 μB/cell
- Crystal system: cubic

Unit cell a=9.008 b=9.008 c=9.008 alpha=109.47 beta=109.47 gamma=109.47
Sites, in units of the cell vectors:
Tl  0.000  0.000  0.500
Tl  0.000  0.500  0.000
Tl  0.500  0.000  0.000
Tl  0.500  0.500  0.500
Ag  0.000  0.000  0.000
Ge  0.000  0.500  0.500
Ge  0.500  0.000  0.500
Ge  0.500  0.500  0.000
Cl  0.000  0.256  0.256
Cl  0.000  0.744  0.744
Cl  0.250  0.500  0.750
Cl  0.250  0.750  0.500
Cl  0.256  0.000  0.256
Cl  0.256  0.256  0.000
Cl  0.500  0.250  0.750
Cl  0.500  0.750  0.250
Cl  0.744  0.000  0.744
Cl  0.744  0.744  0.000
Cl  0.750  0.250  0.500
Cl  0.750  0.500  0.250

=====

4.
Compound: Tl2AgGeCl6
Source: Alexandria via LeMat-Bulk
Functional: PBE
Structure: optimized geometry

Calculated values
- Space group: P1
- ΔE_f (raw): -0.807 eV per atom
- Magnetic moment: 0.0 μB/cell
- Crystal system: triclinic

Unit cell a=7.235 b=7.238 c=7.240 alpha=60.62 beta=60.62 gamma=60.66
Sites, in units of the cell vectors:
Tl  0.000  0.000  0.000
Tl  0.496  0.493  0.494
Ag  0.752  0.750  0.751
Ge  0.252  0.250  0.251
Cl  0.013  0.451  0.534
Cl  0.053  0.966  0.490
Cl  0.451  0.535  0.014
Cl  0.494  0.049  0.969
Cl  0.535  0.014  0.452
Cl  0.970  0.488  0.050